ScZn6Cu3 | PBE | relaxed

Structure (POSCAR):
```
ScZn6Cu3
1.0
6.502 0.000 0.000
0.000 6.436 0.000
-3.962 0.000 7.163
Sc Zn Cu
2 12 6
Cartesian
0.000 0.000 0.000 Sc
-1.981 3.218 3.582 Sc
-1.797 0.189 4.839 Zn
0.183 3.029 1.257 Zn
-1.733 4.383 6.232 Zn
0.248 5.270 2.650 Zn
1.995 1.143 1.904 Zn
0.014 2.075 5.485 Zn
2.526 4.361 1.678 Zn
0.545 5.292 5.260 Zn
2.292 1.165 4.513 Zn
4.273 2.053 0.932 Zn
2.356 3.407 5.906 Zn
4.337 6.246 2.324 Zn
-0.196 1.216 3.042 Cu
-2.177 2.001 6.624 Cu
3.251 0.000 0.000 Cu
1.270 3.218 3.582 Cu
4.717 4.434 0.539 Cu
2.736 5.219 4.121 Cu
```

Results
Calculated formation energy: -0.14 eV/atom
Uncorrected energy: -2.7674 eV/atom
DOS at the Fermi energy: 4.5 states/eV/f.u.
M_tot: 0.000 μB/atom